# HoTmZnPd

A geometry-optimized HoTmZnPd structure (PBE-GGA, Alexandria via LeMat-Bulk).

Cell and atoms, written as POSCAR:
```
HoTmZnPd
1.0
3.5205 0.0000 0.0000
0.0000 3.5205 0.0000
0.0000 0.0000 6.9334
Pd Tm Ho Zn
1 1 1 1
Direct
0.5000 0.5000 0.1120
0.0000 0.0000 0.3524
0.0000 0.0000 0.8606
0.5000 0.5000 0.6029
```

Magnetization (μB per cell): 0.0
ΔH_f (0 K) (meV per atom): -652

# HoTmZnPd

A geometry-optimized HoTmZnPd structure (PBE-GGA, Alexandria via LeMat-Bulk).

Cell and atoms, written as POSCAR:
```
HoTmZnPd
1.0
4.9585 0.0000 0.0000
2.4793 4.2942 0.0000
2.4793 1.4314 4.0486
Pd Tm Zn Ho
1 1 1 1
Direct
0.5000 0.5000 0.5000
0.7500 0.7500 0.7500
0.0000 0.0000 0.0000
0.2500 0.2500 0.2500
```

Magnetization (μB per cell): 0.0
ΔH_f (0 K) (meV per atom): -626

# HoUPd

A geometry-optimized HoUPd structure (PBE-GGA, Alexandria via LeMat-Bulk).

Cell and atoms, written as POSCAR:
```
HoUPd
1.0
5.5423 2.1630 -0.1184
2.1361 5.5528 -0.1184
-4.4629 -4.4846 5.3256
Pd Ho U
2 2 2
Direct
0.4849 0.4849 0.3143
0.5151 0.5151 0.6857
0.7566 0.7566 0.3195
0.2434 0.2434 0.6805
0.9161 0.9161 0.0409
0.0839 0.0839 0.9591
```

Magnetization (μB per cell): 0.3
ΔH_f (0 K) (meV per atom): -211

# HoUPd6

A geometry-optimized HoUPd6 structure (PBE-GGA, Alexandria via LeMat-Bulk).

Cell and atoms, written as POSCAR:
```
HoUPd6
1.0
4.1231 0.0000 0.0000
0.0000 4.1231 0.0000
0.0000 0.0000 8.2442
Pd Ho U
6 1 1
Direct
0.5000 0.0000 0.2536
0.0000 0.5000 0.2536
0.0000 0.5000 0.7464
0.5000 0.0000 0.7464
0.5000 0.5000 0.5000
0.5000 0.5000 0.0000
0.0000 0.0000 0.0000
0.0000 0.0000 0.5000
```

Magnetization (μB per cell): 1.7
ΔH_f (0 K) (meV per atom): -745

# HoUPd14

A geometry-optimized HoUPd14 structure (PBE-GGA, Alexandria via LeMat-Bulk).

Cell and atoms, written as POSCAR:
```
HoUPd14
1.0
5.7949 -0.0122 0.0000
0.0125 5.7949 0.0000
0.0000 0.0000 7.8149
Pd U Ho
14 1 1
Direct
0.6298 0.1202 0.2483
0.6298 0.1202 0.7517
0.1202 0.6298 0.7517
0.3750 0.3750 0.0000
0.3750 0.8750 0.0000
0.1203 0.1203 0.7517
0.8750 0.3750 0.0000
0.3750 0.8750 0.5000
0.6297 0.6297 0.2483
0.8750 0.8750 0.0000
0.8750 0.3750 0.5000
0.1203 0.1203 0.2483
0.6297 0.6297 0.7517
0.1202 0.6298 0.2483
0.8750 0.8750 0.5000
0.3750 0.3750 0.5000
```

Magnetization (μB per cell): 0.0
ΔH_f (0 K) (meV per atom): -398

# Ho2UPd9

A geometry-optimized Ho2UPd9 structure (PBE-GGA, Alexandria via LeMat-Bulk).

Cell and atoms, written as POSCAR:
```
Ho2UPd9
1.0
4.1178 0.0000 0.0000
0.0000 4.1178 0.0000
0.0000 0.0000 12.3394
Pd Ho U
9 2 1
Direct
0.5000 0.5000 0.3322
0.0000 0.5000 0.8374
0.5000 0.0000 0.8374
0.5000 0.0000 0.1626
0.5000 0.0000 0.5000
0.5000 0.5000 0.6678
0.0000 0.5000 0.5000
0.0000 0.5000 0.1626
0.5000 0.5000 0.0000
0.0000 0.0000 0.3378
0.0000 0.0000 0.6622
0.0000 0.0000 0.0000
```

Magnetization (μB per cell): 1.5
ΔH_f (0 K) (meV per atom): -806